Compound: AlZnAg2Te4
Source: Alexandria
Functional: PBE
Structure: relaxed

Properties
- Raw formation energy: -6.241 kcal/mol of atoms
- Space-group type: I-4
- Size of the total moment: 0.00 Bohr magnetons per cell

abc: 6.3544 6.3544 12.2912
angles: 90.00 90.00 90.00
Last column: nearest neighbours and their distance in Å.
Positions (direct):
Al: 0.0000 0.0000 0.0000  4 Te 2.66
Al: 0.5000 0.5000 0.5000  4 Te 2.66
Zn: 0.0000 0.5000 0.7500  4 Te 2.67
Zn: 0.5000 0.0000 0.2500  4 Te 2.67
Ag: 0.0000 0.0000 0.5000  4 Te 2.79
Ag: 0.0000 0.5000 0.2500  4 Te 2.78
Ag: 0.5000 0.0000 0.7500  4 Te 2.78
Ag: 0.5000 0.5000 0.0000  4 Te 2.79
Te: 0.2340 0.2483 0.8753  1 Al 2.66, 1 Zn 2.67, 2 Ag 2.78-2.79
Te: 0.2483 0.7660 0.1247  1 Al 2.66, 1 Zn 2.67, 2 Ag 2.78-2.79
Te: 0.2517 0.7340 0.6247  1 Al 2.66, 1 Zn 2.67, 2 Ag 2.78-2.79
Te: 0.2660 0.2517 0.3753  1 Al 2.66, 1 Zn 2.67, 2 Ag 2.78-2.79
Te: 0.7340 0.7483 0.3753  1 Al 2.66, 1 Zn 2.67, 2 Ag 2.78-2.79
Te: 0.7483 0.2660 0.6247  1 Al 2.66, 1 Zn 2.67, 2 Ag 2.78-2.79
Te: 0.7517 0.2340 0.1247  1 Al 2.66, 1 Zn 2.67, 2 Ag 2.78-2.79
Te: 0.7660 0.7517 0.8753  1 Al 2.66, 1 Zn 2.67, 2 Ag 2.78-2.79